# ZrSiRu PBE optimized geometry
data_ZrSiRu
_chemical_formula_sum 'Zr4 Si4 Ru4'
_space_group_name_H-M_alt 'F -4 3 m'
_space_group_IT_number 216
_space_group_name_Hall 'F -4 2 3'
_cell_length_a 6.198
_cell_length_b 6.198
_cell_length_c 6.198
_cell_angle_alpha 90.00
_cell_angle_beta 90.00
_cell_angle_gamma 90.00
loop_
_atom_site_label
_atom_site_type_symbol
_atom_site_fract_x
_atom_site_fract_y
_atom_site_fract_z
Zr1 Zr 0.000 0.000 0.000
Si1 Si 0.250 0.250 0.250
Ru1 Ru 0.250 0.250 0.750
# - V (A^3/atom) = 19.84
# - DFT total energy (eV/atom) = -7.503
# - total magnetic moment (Bohr magnetons per cell) = 0.00

=====

# Be2SbBr PBE optimized geometry
data_Be2SbBr
_chemical_formula_sum 'Be4 Sb2 Br2'
_space_group_name_H-M_alt 'I m m 2'
_space_group_IT_number 44
_cell_length_a 3.096
_cell_length_b 8.830
_cell_length_c 9.610
_cell_angle_alpha 90.00
_cell_angle_beta 90.00
_cell_angle_gamma 90.00
loop_
_space_group_symop_operation_xyz
'x,y,z'
'-x,-y,z'
'-x,y,z'
'x,-y,z'
'x+1/2,y+1/2,z+1/2'
'-x+1/2,-y+1/2,z+1/2'
'-x+1/2,y+1/2,z+1/2'
'x+1/2,-y+1/2,z+1/2'
loop_
_atom_site_label
_atom_site_type_symbol
_atom_site_fract_x
_atom_site_fract_y
_atom_site_fract_z
Be1 Be 0.000 0.000 0.000
Be2 Be 0.000 0.500 0.308
Sb1 Sb 0.000 0.500 0.697
Br1 Br 0.000 0.000 0.653
# - distance to the lowest polymorph of the same formula (meV/atom) = 538
# - V (A^3/atom) = 32.84
# - DFT total energy (eV/atom) = -2.813
# - total magnetic moment (Bohr magnetons per cell) = 0.00